Entry from the Open Quantum Materials Database: crystalline CsCoIr at its relaxed geometry (GGA-PBE).

magnetization = 2.885 μB/f.u.
electronic total energy = -3.950 eV per atom
mass density = 8.62 g cm⁻³
volume = 73.96 Å³ per cell

Cell lengths 4.712, 4.712, 4.712 Å; angles 60.00, 60.00, 60.00 degrees
Element x y z (fractional)
Co1 0.250 0.250 0.250
Cs1 0.750 0.750 0.750
Ir1 0.000 0.000 0.000

***

Entry from the Open Quantum Materials Database: crystalline SrUAu at its relaxed geometry (GGA-PBE).

magnetization = 3.918 μB/f.u.
mass density = 8.91 g cm⁻³
ΔE to the lowest computed polymorph = 0 kJ/mol of formula units
volume = 97.43 Å³ per cell

Cell lengths 5.165, 5.165, 5.165 Å; angles 60.00, 60.00, 60.00 degrees
Last column: magnetic moment on the atom in μB.
Element x y z (fractional)
Au1 0.000 0.000 0.000  0.04
Sr1 0.250 0.250 0.250  0.08
U1 0.750 0.750 0.750  3.03

***

Entry from the Open Quantum Materials Database: crystalline RbSmHgTe3 at its relaxed geometry (GGA-PBE).

magnetization = 0.001 μB/f.u.
mass density = 6.14 g cm⁻³
ΔE to the lowest computed polymorph = 0 kJ/mol of formula units
volume = 442.79 Å³ per cell

Cell lengths 8.532, 8.532, 11.871 Å; angles 90.00, 90.00, 30.82 degrees
Element x y z (fractional)
Hg1 0.460 0.460 0.250
Hg2 0.540 0.540 0.750
Rb1 0.754 0.754 0.250
Rb2 0.246 0.246 0.750
Sm1 0.000 0.000 0.000
Sm2 0.000 0.000 0.500
Te1 0.369 0.369 0.048
Te2 0.073 0.073 0.250
Te3 0.369 0.369 0.452
Te4 0.631 0.631 0.548
Te5 0.927 0.927 0.750
Te6 0.631 0.631 0.952

***

Entry from the Open Quantum Materials Database: crystalline NaSmGaTe3 at its relaxed geometry (GGA-PBE).

magnetization = 0.010 μB/f.u.
electronic total energy = -3.928 eV per atom
mass density = 5.22 g cm⁻³
volume = 398.16 Å³ per cell

Cell lengths 7.585, 7.585, 11.790 Å; angles 90.00, 90.00, 144.06 degrees
Element x y z (fractional)
Ga1 0.019 0.981 0.250
Ga2 0.981 0.019 0.750
Na1 0.736 0.264 0.250
Na2 0.264 0.736 0.750
Sm1 0.500 0.500 0.000
Sm2 0.500 0.500 0.500
Te1 0.140 0.860 0.067
Te2 0.415 0.585 0.250
Te3 0.140 0.860 0.433
Te4 0.860 0.140 0.567
Te5 0.585 0.415 0.750
Te6 0.860 0.140 0.933

***

Entry from the Open Quantum Materials Database: crystalline TmThPd6 at its relaxed geometry (GGA-PBE).

magnetization = 0.009 μB/f.u.
mass density = 12.15 g cm⁻³
E_form = -0.981 eV per atom
volume = 142.07 Å³ per cell

Cell lengths 4.149, 4.149, 8.251 Å; angles 90.00, 90.00, 90.00 degrees
Element x y z (fractional)
Pd1 0.500 0.500 0.000
Pd2 0.500 0.000 0.246
Pd3 0.000 0.500 0.246
Pd4 0.500 0.500 0.500
Pd5 0.500 0.000 0.754
Pd6 0.000 0.500 0.754
Th1 0.000 0.000 0.500
Tm1 0.000 0.000 0.000

***

Entry from the Open Quantum Materials Database: crystalline Pu3Fe at its relaxed geometry (GGA-PBE).

magnetization = 14.872 μB/f.u.
mass density = 14.59 g cm⁻³
E_form = 0.219 eV per atom
volume = 89.68 Å³ per cell

Cell lengths 4.476, 4.476, 4.476 Å; angles 90.00, 90.00, 90.00 degrees
Last column: magnetic moment on the atom in μB.
Element x y z (fractional)
Fe1 0.000 0.000 0.000  -2.49
Pu1 0.500 0.500 0.000  5.56
Pu2 0.500 0.000 0.500  5.45
Pu3 0.000 0.500 0.500  5.54

***

Entry from the Open Quantum Materials Database: crystalline DyNbN2O at its relaxed geometry (GGA-PBE).

magnetization = 0.001 μB/f.u.
electronic total energy = -8.692 eV per atom
mass density = 7.64 g cm⁻³
volume = 65.05 Å³ per cell

Cell lengths 4.070, 4.070, 3.926 Å; angles 90.00, 90.00, 90.00 degrees
Element x y z (fractional)
Dy1 0.000 0.000 0.000
N1 0.500 0.000 0.500
N2 0.000 0.500 0.500
Nb1 0.500 0.500 0.500
O1 0.500 0.500 0.000

***

Entry from the Open Quantum Materials Database: crystalline BeNbCuSb at its relaxed geometry (GGA-PBE).

magnetization = 1.389 μB/f.u.
mass density = 7.55 g cm⁻³
ΔE to the lowest computed polymorph = 36 kJ/mol of formula units
volume = 63.15 Å³ per cell

Cell lengths 4.470, 4.470, 4.470 Å; angles 60.00, 60.00, 60.00 degrees
Element x y z (fractional)
Be1 0.250 0.250 0.250
Cu1 0.750 0.750 0.750
Nb1 0.500 0.500 0.500
Sb1 0.000 0.000 0.000

***

> What is the magnetization in the seventh record?

0.001 μB/f.u.

***

> The lowest volume belongs to which entry?

BeNbCuSb